Arrangement i

Material: RbSiRu3
Method: DFT, PBE
State: optimized geometry

## Properties
As for the space group: No. 221. The value obtained for the total magnetization is 2.8 μB/cell.

a b c (Å): 4.626 4.626 4.626
angles (deg): 90.00 90.00 90.00
Fractional positions:
Ru 0.000 0.000 0.500
Ru 0.500 0.000 0.000
Ru 0.000 0.500 0.000
Rb 0.500 0.500 0.500
Si 0.000 0.000 0.000

Arrangement ii

Material: RbSiRu3
Method: DFT, PBE
State: optimized geometry

## Properties
As for the space group: No. 221. The value obtained for the total magnetization is 4.4 μB/cell.

a b c (Å): 4.786 4.786 4.786
angles (deg): 90.00 90.00 90.00
Fractional positions:
Ru 0.500 0.000 0.000
Ru 0.000 0.000 0.500
Ru 0.000 0.500 0.000
Rb 0.000 0.000 0.000
Si 0.500 0.500 0.500

Least stable of them? arrangement ii.

Arrangement i

Material: RbSi3Ru
Method: DFT, PBE
State: optimized geometry

## Properties
As for the space group: No. 221. The value obtained for the total magnetization is 2.2 μB/cell.

a b c (Å): 5.204 5.204 5.204
angles (deg): 90.00 90.00 90.00
Fractional positions:
Si 0.500 0.000 0.000
Si 0.000 0.500 0.000
Si 0.000 0.000 0.500
Ru 0.500 0.500 0.500
Rb 0.000 0.000 0.000

Arrangement ii

Material: RbSi3Ru
Method: DFT, PBE
State: optimized geometry

## Properties
As for the space group: No. 221. The value obtained for the total magnetization is 1.5 μB/cell.

a b c (Å): 4.778 4.778 4.778
angles (deg): 90.00 90.00 90.00
Fractional positions:
Si 0.000 0.000 0.500
Si 0.000 0.500 0.000
Si 0.500 0.000 0.000
Rb 0.500 0.500 0.500
Ru 0.000 0.000 0.000

Least stable of them? arrangement i.

Arrangement i

Material: RbSnRu3
Method: DFT, PBE
State: optimized geometry

## Properties
As for the space group: No. 221. The value obtained for the total magnetization is 4.7 μB/cell.

a b c (Å): 4.884 4.884 4.884
angles (deg): 90.00 90.00 90.00
Fractional positions:
Ru 0.000 0.500 0.000
Ru 0.500 0.000 0.000
Ru 0.000 0.000 0.500
Rb 0.000 0.000 0.000
Sn 0.500 0.500 0.500

Arrangement ii

Material: RbSnRu3
Method: DFT, PBE
State: optimized geometry

## Properties
As for the space group: No. 221. The value obtained for the total magnetization is 4.7 μB/cell.

a b c (Å): 5.066 5.066 5.066
angles (deg): 90.00 90.00 90.00
Fractional positions:
Rb 0.500 0.500 0.500
Ru 0.000 0.500 0.000
Ru 0.000 0.000 0.500
Ru 0.500 0.000 0.000
Sn 0.000 0.000 0.000

Least stable of them? arrangement i.

Arrangement i

Material: Rb3SrRu
Method: DFT, PBE
State: optimized geometry

## Properties
As for the space group: No. 221. The value obtained for the total magnetization is 0.0 μB/cell.

a b c (Å): 6.464 6.464 6.464
angles (deg): 90.00 90.00 90.00
Fractional positions:
Sr 0.500 0.500 0.500
Rb 0.000 0.000 0.500
Rb 0.500 0.000 0.000
Rb 0.000 0.500 0.000
Ru 0.000 0.000 0.000

Arrangement ii

Material: Rb3SrRu
Method: DFT, PBE
State: optimized geometry

## Properties
As for the space group: No. 221. The value obtained for the total magnetization is 2.8 μB/cell.

a b c (Å): 7.884 7.884 7.884
angles (deg): 90.00 90.00 90.00
Fractional positions:
Rb 0.500 0.000 0.000
Rb 0.000 0.500 0.000
Rb 0.000 0.000 0.500
Sr 0.000 0.000 0.000
Ru 0.500 0.500 0.500

Least stable of them? arrangement ii.

Arrangement i

Material: RbSr3Ru
Method: DFT, PBE
State: optimized geometry

## Properties
As for the space group: No. 221. The value obtained for the total magnetization is 0.0 μB/cell.

a b c (Å): 6.066 6.066 6.066
angles (deg): 90.00 90.00 90.00
Fractional positions:
Sr 0.000 0.500 0.000
Sr 0.500 0.000 0.000
Sr 0.000 0.000 0.500
Rb 0.500 0.500 0.500
Ru 0.000 0.000 0.000

Arrangement ii

Material: RbSr3Ru
Method: DFT, PBE
State: optimized geometry

## Properties
As for the space group: No. 221. The value obtained for the total magnetization is 0.5 μB/cell.

a b c (Å): 5.990 5.990 5.990
angles (deg): 90.00 90.00 90.00
Fractional positions:
Sr 0.000 0.000 0.500
Sr 0.000 0.500 0.000
Sr 0.500 0.000 0.000
Rb 0.000 0.000 0.000
Ru 0.500 0.500 0.500

Least stable of them? arrangement ii.

Arrangement i

Material: RbSrRu3
Method: DFT, PBE
State: optimized geometry

## Properties
As for the space group: No. 221. The value obtained for the total magnetization is 4.9 μB/cell.

a b c (Å): 5.234 5.234 5.234
angles (deg): 90.00 90.00 90.00
Fractional positions:
Ru 0.000 0.000 0.500
Ru 0.500 0.000 0.000
Ru 0.000 0.500 0.000
Sr 0.000 0.000 0.000
Rb 0.500 0.500 0.500

Arrangement ii

Material: RbSrRu3
Method: DFT, PBE
State: optimized geometry

## Properties
As for the space group: No. 221. The value obtained for the total magnetization is 4.7 μB/cell.

a b c (Å): 4.998 4.998 4.998
angles (deg): 90.00 90.00 90.00
Fractional positions:
Ru 0.000 0.500 0.000
Ru 0.500 0.000 0.000
Ru 0.000 0.000 0.500
Sr 0.500 0.500 0.500
Rb 0.000 0.000 0.000

Least stable of them? arrangement ii.

Arrangement i

Material: RbTaRu2
Method: DFT, PBE
State: optimized geometry

## Properties
As for the space group: No. 225. The value obtained for the total magnetization is 0.0 μB/cell.

a b c (Å): 4.695 4.695 4.695
angles (deg): 60.00 60.00 60.00
Fractional positions:
Ru 0.750 0.750 0.750
Ru 0.250 0.250 0.250
Rb 0.000 0.000 0.000
Ta 0.500 0.500 0.500

Arrangement ii

Material: RbTaRu2
Method: DFT, PBE
State: optimized geometry

## Properties
As for the space group: No. 122. The value obtained for the total magnetization is 0.0 μB/cell.

a b c (Å): 5.334 5.334 8.785
angles (deg): 72.33 72.33 90.00
Fractional positions:
Ru 0.953 0.625 0.250
Ru 0.797 0.125 0.250
Ru 0.375 0.203 0.750
Ru 0.875 0.047 0.750
Ta 0.000 0.000 0.000
Ta 0.750 0.250 0.500
Rb 0.250 0.750 0.500
Rb 0.500 0.500 0.000

Least stable of them? arrangement ii.

Arrangement i

Material: RbTcRu2
Method: DFT, PBE
State: optimized geometry

## Properties
As for the space group: No. 122. The value obtained for the total magnetization is 0.0 μB/cell.

a b c (Å): 7.385 7.385 6.173
angles (deg): 53.27 53.27 90.00
Fractional positions:
Ru 0.875 0.955 0.750
Ru 0.705 0.125 0.250
Ru 0.045 0.625 0.250
Ru 0.375 0.295 0.750
Tc 0.000 0.000 0.000
Tc 0.750 0.250 0.500
Rb 0.500 0.500 0.000
Rb 0.250 0.750 0.500

Arrangement ii

Material: RbTcRu2
Method: DFT, PBE
State: optimized geometry

## Properties
As for the space group: No. 225. The value obtained for the total magnetization is 0.0 μB/cell.

a b c (Å): 4.607 4.607 4.607
angles (deg): 60.00 60.00 60.00
Fractional positions:
Ru 0.750 0.750 0.750
Ru 0.250 0.250 0.250
Rb 0.000 0.000 0.000
Tc 0.500 0.500 0.500

Least stable of them? arrangement ii.

Arrangement i

Material: RbTiRu2
Method: DFT, PBE
State: optimized geometry

## Properties
As for the space group: No. 141. The value obtained for the total magnetization is 1.2 μB/cell.

a b c (Å): 5.151 5.151 8.947
angles (deg): 73.27 73.27 90.00
Fractional positions:
Ti 0.250 0.750 0.500
Ti 0.500 0.500 0.000
Rb 0.750 0.250 0.500
Rb 0.000 0.000 0.000
Ru 0.375 0.625 0.250
Ru 0.375 0.625 0.750
Ru 0.875 0.625 0.750
Ru 0.375 0.125 0.250

Arrangement ii

Material: RbTiRu2
Method: DFT, PBE
State: optimized geometry

## Properties
As for the space group: No. 225. The value obtained for the total magnetization is 0.0 μB/cell.

a b c (Å): 4.655 4.655 4.655
angles (deg): 60.00 60.00 60.00
Fractional positions:
Rb 0.500 0.500 0.500
Ru 0.250 0.250 0.250
Ru 0.750 0.750 0.750
Ti 0.000 0.000 0.000

Least stable of them? arrangement ii.

Arrangement i

Material: RbTi2Ru
Method: DFT, PBE
State: optimized geometry

## Properties
As for the space group: No. 225. The value obtained for the total magnetization is 0.0 μB/cell.

a b c (Å): 4.743 4.743 4.743
angles (deg): 60.00 60.00 60.00
Fractional positions:
Ti 0.250 0.250 0.250
Ti 0.750 0.750 0.750
Rb 0.000 0.000 0.000
Ru 0.500 0.500 0.500

Arrangement ii

Material: RbTi2Ru
Method: DFT, PBE
State: optimized geometry

## Properties
As for the space group: No. 141. The value obtained for the total magnetization is 4.3 μB/cell.

a b c (Å): 6.451 6.451 8.166
angles (deg): 66.73 66.73 90.00
Fractional positions:
Ru 0.750 0.250 0.500
Ru 0.000 0.000 0.000
Ti 0.375 0.125 0.750
Ti 0.875 0.125 0.250
Ti 0.875 0.625 0.250
Ti 0.875 0.125 0.750
Rb 0.250 0.750 0.500
Rb 0.500 0.500 0.000

Least stable of them? arrangement ii.

Arrangement i

Material: Rb2TlRu
Method: DFT, PBE
State: optimized geometry

## Properties
As for the space group: No. 122. The value obtained for the total magnetization is 2.0 μB/cell.

a b c (Å): 12.607 12.607 9.297
angles (deg): 47.32 47.32 90.00
Fractional positions:
Rb 0.375 0.553 0.750
Rb 0.447 0.125 0.250
Rb 0.303 0.625 0.250
Rb 0.875 0.697 0.750
Ru 0.500 0.500 0.000
Ru 0.250 0.750 0.500
Tl 0.000 0.000 0.000
Tl 0.750 0.250 0.500

Arrangement ii

Material: Rb2TlRu
Method: DFT, PBE
State: optimized geometry

## Properties
As for the space group: No. 225. The value obtained for the total magnetization is 1.6 μB/cell.

a b c (Å): 5.961 5.961 5.961
angles (deg): 60.00 60.00 60.00
Fractional positions:
Ru 0.000 0.000 0.000
Rb 0.750 0.750 0.750
Rb 0.250 0.250 0.250
Tl 0.500 0.500 0.500

Least stable of them? arrangement ii.

Arrangement i

Material: RbTlRu2
Method: DFT, PBE
State: optimized geometry

## Properties
As for the space group: No. 122. The value obtained for the total magnetization is 0.6 μB/cell.

a b c (Å): 4.833 4.833 10.478
angles (deg): 76.67 76.67 90.00
Fractional positions:
Rb 0.250 0.750 0.500
Rb 0.500 0.500 0.000
Tl 0.750 0.250 0.500
Tl 0.000 0.000 0.000
Ru 0.873 0.125 0.250
Ru 0.877 0.625 0.250
Ru 0.375 0.127 0.750
Ru 0.875 0.123 0.750

Arrangement ii

Material: RbTlRu2
Method: DFT, PBE
State: optimized geometry

## Properties
As for the space group: No. 225. The value obtained for the total magnetization is 2.9 μB/cell.

a b c (Å): 4.916 4.916 4.916
angles (deg): 60.00 60.00 60.00
Fractional positions:
Ru 0.750 0.750 0.750
Ru 0.250 0.250 0.250
Tl 0.500 0.500 0.500
Rb 0.000 0.000 0.000

Least stable of them? arrangement ii.

Arrangement i

Material: RbTl3Ru
Method: DFT, PBE
State: optimized geometry

## Properties
As for the space group: No. 221. The value obtained for the total magnetization is 0.0 μB/cell.

a b c (Å): 5.385 5.385 5.385
angles (deg): 90.00 90.00 90.00
Fractional positions:
Ru 0.000 0.000 0.000
Tl 0.500 0.000 0.000
Tl 0.000 0.000 0.500
Tl 0.000 0.500 0.000
Rb 0.500 0.500 0.500

Arrangement ii

Material: RbTl3Ru
Method: DFT, PBE
State: optimized geometry

## Properties
As for the space group: No. 221. The value obtained for the total magnetization is 2.1 μB/cell.

a b c (Å): 6.164 6.164 6.164
angles (deg): 90.00 90.00 90.00
Fractional positions:
Tl 0.500 0.000 0.000
Tl 0.000 0.500 0.000
Tl 0.000 0.000 0.500
Rb 0.000 0.000 0.000
Ru 0.500 0.500 0.500

Least stable of them? arrangement ii.

Arrangement i

Material: Rb2VRu
Method: DFT, PBE
State: optimized geometry

## Properties
As for the space group: No. 122. The value obtained for the total magnetization is 4.0 μB/cell.

a b c (Å): 13.327 13.327 9.691
angles (deg): 46.56 46.56 90.00
Fractional positions:
Ru 0.000 0.000 0.000
Ru 0.750 0.250 0.500
Rb 0.375 0.191 0.750
Rb 0.875 0.059 0.750
Rb 0.809 0.125 0.250
Rb 0.941 0.625 0.250
V 0.250 0.750 0.500
V 0.500 0.500 0.000

Arrangement ii

Material: Rb2VRu
Method: DFT, PBE
State: optimized geometry

## Properties
As for the space group: No. 225. The value obtained for the total magnetization is 6.2 μB/cell.

a b c (Å): 5.806 5.806 5.806
angles (deg): 60.00 60.00 60.00
Fractional positions:
Rb 0.250 0.250 0.250
Rb 0.750 0.750 0.750
Ru 0.500 0.500 0.500
V 0.000 0.000 0.000

Least stable of them? arrangement ii.